The following is a DFT calculation (GGA+U) of a relaxed LaZnFeWO6 crystal.

Computed properties:
space-group type	Pc, No. 7
energy	-7.01	eV per atom
DOS(E_F)	0.00	states/eV/cell

Cell: 5.561 7.817 5.975 Å, 90.00 90.00 89.55°
Each line ends with the local moment (μB).
Sites, in units of the cell vectors:
La  0.979  0.248  0.061  0.01
La  0.479  0.748  0.439  0.01
Zn  0.474  0.255  0.383  0.01
Zn  0.974  0.755  0.117  0.01
Fe  0.999  0.004  0.528  3.76
Fe  0.499  0.504  0.972  3.76
W  0.501  0.996  0.976  1.00
W  0.001  0.496  0.524  1.00
O  0.630  0.752  0.036  0.02
O  0.130  0.252  0.464  0.02
O  0.205  0.940  0.181  0.04
O  0.705  0.440  0.319  0.04
O  0.173  0.550  0.218  0.01
O  0.673  0.050  0.282  0.01
O  0.904  0.749  0.492  0.04
O  0.404  0.249  0.008  0.04
O  0.306  0.551  0.680  0.04
O  0.806  0.051  0.820  0.04
O  0.329  0.957  0.712  -0.01
O  0.829  0.457  0.788  -0.01